[1]
A plane-wave DFT calculation with meta-GGA SCAN was carried out for a crystal of BeZn2Ru relaxed with PBEsol.

a = 2.6670 Å, b = 2.6670 Å, c = 24.3120 Å
α = 90.00°, β = 90.00°, γ = 120.00°
Space group R-3m (No. 166, hexagonal axes)
Inequivalent atoms, fractional coordinates:
Be: 0.0000 0.0000 0.0000 (multiplicity 3)
Zn: 0.0000 0.0000 0.2547 (multiplicity 6)
Ru: 0.0000 0.0000 0.5000 (multiplicity 3)

Output
For the formation enthalpy at 0 K, the calculation gives 64 kJ/mol of formula units.

[2]
A plane-wave DFT calculation with meta-GGA SCAN was carried out for a crystal of TiSO5 relaxed with PBEsol.

a = 11.112 Å, b = 5.256 Å, c = 6.592 Å
α = 90.00°, β = 90.00°, γ = 90.00°
Space group Pnma (No. 62)
Inequivalent atoms, fractional coordinates:
Ti: 0.057 0.250 0.157 (multiplicity 4)
S: 0.155 0.750 0.476 (multiplicity 4)
O: 0.000 0.000 0.000 (multiplicity 4)
O: 0.090 0.750 0.672 (multiplicity 4)
O: 0.127 0.518 0.363 (multiplicity 8)
O: 0.215 0.250 0.023 (multiplicity 4)

Output
The energy relative to the elements, uncorrected is -16.01 eV/f.u.

[3]
A plane-wave DFT calculation with meta-GGA SCAN was carried out for a crystal of CdCu2As relaxed with PBEsol.

a = 8.316 Å, b = 2.857 Å, c = 5.427 Å
α = 90.00°, β = 99.99°, γ = 90.00°
Space group Cm (No. 8)
Inequivalent atoms, fractional coordinates:
Cd: 0.000 0.000 0.000 (multiplicity 2)
Cu: 0.011 0.500 0.552 (multiplicity 2)
Cu: 0.250 0.000 0.735 (multiplicity 2)
As: 0.267 0.500 0.354 (multiplicity 2)

Output
For the formation enthalpy at 0 K, the calculation gives 51 kJ/mol of formula units.

[4]
A plane-wave DFT calculation with meta-GGA SCAN was carried out for a crystal of LiUAsO6 relaxed with PBEsol.

a = 5.065 Å, b = 5.413 Å, c = 9.972 Å
α = 88.72°, β = 82.82°, γ = 75.60°
Space group P-1 (No. 2)
Inequivalent atoms, fractional coordinates:
Li: 0.048 0.066 0.226 (multiplicity 2)
U: 0.000 0.500 0.000 (multiplicity 1)
U: 0.500 0.000 0.500 (multiplicity 1)
As: 0.409 0.491 0.259 (multiplicity 2)
O: 0.180 0.676 0.162 (multiplicity 2)
O: 0.180 0.999 0.607 (multiplicity 2)
O: 0.226 0.194 0.035 (multiplicity 2)
O: 0.279 0.630 0.835 (multiplicity 2)
O: 0.282 0.250 0.333 (multiplicity 2)
O: 0.453 0.684 0.382 (multiplicity 2)

Output
The energy relative to the elements, uncorrected is -21.54 eV/f.u.

Ordered theoretical density results: 8.0; 2.8; 8.2; 5.3; unit g/cm3.
Ordered Fermi-level density of states results: 2.4; 0.0; 1.2; 0.0; unit states/eV/f.u..